# PBE KTiBi2Ru, optimized geometry
data_KTiBi2Ru
_chemical_formula_sum 'K1 Ti1 Bi2 Ru1'
_cell_length_a 5.586
_cell_length_b 5.586
_cell_length_c 4.677
_cell_angle_alpha 90.00
_cell_angle_beta 90.00
_cell_angle_gamma 90.00
_space_group_name_H-M_alt 'P 4/m m m'
_space_group_IT_number 123
_space_group_name_Hall '-P 4 2'
loop_
_atom_site_label
_atom_site_type_symbol
_atom_site_fract_x
_atom_site_fract_y
_atom_site_fract_z
K1 K 0.000 0.000 0.000
Ti1 Ti 0.500 0.500 0.000
Bi1 Bi 0.000 0.500 0.500
Ru1 Ru 0.500 0.500 0.500
# E_form: 1.81 eV per formula unit
# magnetization: 0.149 μB/f.u.
# E_tot: -4.8433 eV per atom